# 1
Computed, not measured: an optimized crystal structure of CaSmCuRh at the GGA-PBE level of DFT.

a b c (Å): 4.166 5.874 5.874
angles (deg): 39.47 90.00 90.00
Sites, in units of the cell vectors:
Ca1 0.000 0.000 0.000
Sm1 0.500 0.719 0.719
Cu1 0.500 0.426 0.426
Rh1 0.000 0.281 0.281

The total energy comes out at -0.1826 Ha/atom. As for the energy above the lowest structure with this stoichiometry: 0 meV/atom.



# 2
Computed, not measured: an optimized crystal structure of SrCaCuRh at the GGA-PBE level of DFT.

a b c (Å): 4.274 5.922 5.922
angles (deg): 42.34 90.00 90.00
Sites, in units of the cell vectors:
Sr1 0.000 0.000 0.000
Ca1 0.500 0.281 0.281
Cu1 0.500 0.591 0.591
Rh1 0.000 0.709 0.709

The total energy comes out at -0.1476 Ha/atom. As for the energy above the lowest structure with this stoichiometry: 0 meV/atom.



# 3
Computed, not measured: an optimized crystal structure of SrCaCuRh at the GGA-PBE level of DFT.

a b c (Å): 5.085 5.085 5.085
angles (deg): 60.00 60.00 60.00
Sites, in units of the cell vectors:
Sr1 0.000 0.000 0.000
Ca1 0.500 0.500 0.500
Cu1 0.750 0.750 0.750
Rh1 0.250 0.250 0.250

The total energy comes out at -0.1434 Ha/atom. As for the energy above the lowest structure with this stoichiometry: 113 meV/atom.